The following is a PBE calculation of crystalline KGaRu3 at its relaxed geometry, from Alexandria via LeMat-Bulk.

Output
The formation energy comes out at 13.8 eV per formula unit. As for the crystal system: cubic. The total energy comes out at -18.19 eV/cell. The density is 6.3 g cm⁻³. Its magnetization is 5.84 Bohr magnetons per cell. For the density of states at the Fermi level, the calculation gives 4.1 states/eV/cell.

a = 4.775 Å, b = 4.775 Å, c = 4.775 Å
α = 90.00°, β = 90.00°, γ = 90.00°
Space group Pm-3m (No. 221)
Symmetry-distinct sites (fractional):
1 K 0.000 0.000 0.000 [1 per cell]
2 Ga 0.500 0.500 0.500 [1 per cell]
3 Ru 0.000 0.000 0.500 [3 per cell]